# 1
A geometry-optimized RbNa8Pb4 structure. Source: Alexandria, functional PBE. Values from VASP.

Quantum ESPRESSO input file:
```
&SYSTEM
  ibrav = 0, nat = 13, ntyp = 3
/
ATOMIC_SPECIES
Rb 85.47 Rb.upf
Na 22.99 Na.upf
Pb 207.20 Pb.upf
CELL_PARAMETERS angstrom
-5.5908 5.5908 3.5178
5.5908 -5.5908 3.5178
5.5908 5.5908 -3.5178
ATOMIC_POSITIONS crystal
Rb 0.0000 0.0000 0.0000
Na 0.0000 0.3301 0.3301
Na 0.0000 0.6699 0.6699
Na 0.2708 0.5000 0.7708
Na 0.3301 0.0000 0.3301
Na 0.5000 0.2708 0.7708
Na 0.5000 0.7292 0.2292
Na 0.6699 0.0000 0.6699
Na 0.7292 0.5000 0.2292
Pb 0.0000 0.0000 0.5000
Pb 0.0000 0.5000 0.0000
Pb 0.5000 0.0000 0.0000
Pb 0.5000 0.5000 0.5000
```

Summary:
**Crystal system**: tetragonal
**Formation energy from the elements**: -0.12 eV per atom
**Symmetry**: I4/mmm


# 2
A geometry-optimized RbNa2Pb structure. Source: Alexandria, functional PBE. Values from VASP.

Quantum ESPRESSO input file:
```
&SYSTEM
  ibrav = 0, nat = 4, ntyp = 3
/
ATOMIC_SPECIES
Rb 85.47 Rb.upf
Na 22.99 Na.upf
Pb 207.20 Pb.upf
CELL_PARAMETERS angstrom
4.2414 0.0000 0.0000
0.0000 4.2414 0.0000
0.0000 0.0000 9.0108
ATOMIC_POSITIONS crystal
Rb 0.0000 0.0000 0.0000
Na 0.5000 0.5000 0.3256
Na 0.5000 0.5000 0.6744
Pb 0.0000 0.0000 0.5000
```

Summary:
**Crystal system**: tetragonal
**Formation energy from the elements**: -0.03 eV per atom
**Symmetry**: P4/mmm


# 3
A geometry-optimized Rb2Na3Pb2 structure. Source: Alexandria, functional PBE. Values from VASP.

Quantum ESPRESSO input file:
```
&SYSTEM
  ibrav = 0, nat = 7, ntyp = 3
/
ATOMIC_SPECIES
Rb 85.47 Rb.upf
Na 22.99 Na.upf
Pb 207.20 Pb.upf
CELL_PARAMETERS angstrom
6.9046 -2.7953 0.0000
6.9046 2.7953 0.0000
-4.5693 0.0000 7.7127
ATOMIC_POSITIONS crystal
Rb 0.1572 0.1572 0.2782
Rb 0.8428 0.8428 0.7218
Na 0.3505 0.3505 0.0648
Na 0.5000 0.5000 0.5000
Na 0.6495 0.6495 0.9352
Pb 0.1099 0.1099 0.6919
Pb 0.8901 0.8901 0.3081
```

Summary:
**Crystal system**: monoclinic
**Formation energy from the elements**: -0.11 eV per atom
**Symmetry**: C2/m


# 4
A geometry-optimized Rb2Na2Pb structure. Source: Alexandria, functional PBE. Values from VASP.

Quantum ESPRESSO input file:
```
&SYSTEM
  ibrav = 0, nat = 10, ntyp = 3
/
ATOMIC_SPECIES
Rb 85.47 Rb.upf
Na 22.99 Na.upf
Pb 207.20 Pb.upf
CELL_PARAMETERS angstrom
2.9863 -6.7676 0.0000
2.9863 6.7676 0.0000
0.0000 0.0000 11.4438
ATOMIC_POSITIONS crystal
Rb 0.0827 0.9173 0.5000
Rb 0.2226 0.7774 0.8360
Rb 0.7774 0.2226 0.3360
Rb 0.9173 0.0827 0.0000
Na 0.1664 0.8336 0.1451
Na 0.4785 0.5215 0.2661
Na 0.5215 0.4785 0.7661
Na 0.8336 0.1664 0.6451
Pb 0.3793 0.6207 0.5375
Pb 0.6207 0.3793 0.0375
```

Summary:
**Crystal system**: orthorhombic
**Formation energy from the elements**: -0.08 eV per atom
**Symmetry**: Cmc2_1


# 5
A geometry-optimized RbNa3Pb structure. Source: Alexandria, functional PBE. Values from VASP.

Quantum ESPRESSO input file:
```
&SYSTEM
  ibrav = 0, nat = 10, ntyp = 3
/
ATOMIC_SPECIES
Rb 85.47 Rb.upf
Na 22.99 Na.upf
Pb 207.20 Pb.upf
CELL_PARAMETERS angstrom
8.0266 0.0000 0.0000
0.0000 5.6363 0.0000
-3.0447 0.0000 8.8591
ATOMIC_POSITIONS crystal
Rb 0.0000 0.0000 0.0000
Rb 0.2662 0.5000 0.3548
Na 0.2678 0.0000 0.7265
Na 0.5325 0.0000 0.1039
Na 0.6141 0.5000 0.8085
Na 0.6526 0.0000 0.5471
Na 0.7320 0.5000 0.2491
Na 0.9963 0.5000 0.6266
Pb 0.3231 0.5000 0.9559
Pb 0.9413 0.0000 0.3970
```

Summary:
**Crystal system**: monoclinic
**Formation energy from the elements**: -0.08 eV per atom
**Symmetry**: Pm


# 6
A geometry-optimized Rb2NaPb structure. Source: Alexandria, functional PBE. Values from VASP.

Quantum ESPRESSO input file:
```
&SYSTEM
  ibrav = 0, nat = 8, ntyp = 3
/
ATOMIC_SPECIES
Rb 85.47 Rb.upf
Na 22.99 Na.upf
Pb 207.20 Pb.upf
CELL_PARAMETERS angstrom
-5.3189 5.3189 3.5549
5.3189 -5.3189 3.5549
5.3189 5.3189 -3.5549
ATOMIC_POSITIONS crystal
Rb 0.1036 0.6250 0.9786
Rb 0.3750 0.3536 0.4786
Rb 0.6464 0.1250 0.0214
Rb 0.8750 0.8964 0.5214
Na 0.2500 0.7500 0.5000
Na 0.5000 0.5000 0.0000
Pb 0.0000 0.0000 0.0000
Pb 0.7500 0.2500 0.5000
```

Summary:
**Crystal system**: tetragonal
**Formation energy from the elements**: 0.12 eV per atom
**Symmetry**: I-42d


# 7
A geometry-optimized Rb3Na2Pb4 structure. Source: Alexandria, functional PBE. Values from VASP.

Quantum ESPRESSO input file:
```
&SYSTEM
  ibrav = 0, nat = 9, ntyp = 3
/
ATOMIC_SPECIES
Rb 85.47 Rb.upf
Na 22.99 Na.upf
Pb 207.20 Pb.upf
CELL_PARAMETERS angstrom
5.5902 0.0000 0.0000
-2.7862 6.8122 0.0000
-0.0002 -3.2354 10.2645
ATOMIC_POSITIONS crystal
Rb 0.0000 0.0000 0.0000
Rb 0.3761 0.7511 0.6221
Rb 0.6239 0.2489 0.3779
Na 0.3224 0.6503 0.2343
Na 0.6776 0.3497 0.7657
Pb 0.0834 0.1612 0.6349
Pb 0.2664 0.5278 0.9180
Pb 0.7336 0.4722 0.0820
Pb 0.9166 0.8388 0.3651
```

Summary:
**Crystal system**: triclinic
**Formation energy from the elements**: -0.09 eV per atom
**Symmetry**: P-1


# 8
A geometry-optimized Rb2Na2Pb structure. Source: Alexandria, functional PBE. Values from VASP.

Quantum ESPRESSO input file:
```
&SYSTEM
  ibrav = 0, nat = 5, ntyp = 3
/
ATOMIC_SPECIES
Rb 85.47 Rb.upf
Na 22.99 Na.upf
Pb 207.20 Pb.upf
CELL_PARAMETERS angstrom
-2.7593 3.5056 6.0584
2.7593 -3.5056 6.0584
2.7593 3.5056 -6.0584
ATOMIC_POSITIONS crystal
Rb 0.2019 0.2019 0.0000
Rb 0.7981 0.7981 0.0000
Na 0.2640 0.5000 0.7640
Na 0.7360 0.5000 0.2360
Pb 0.5000 0.0000 0.5000
```

Summary:
**Crystal system**: orthorhombic
**Formation energy from the elements**: -0.05 eV per atom
**Symmetry**: Immm